[1]
PBE Mg2CdSe, optimized geometry; formation energy without anion corrections = -0.014 eV/atom; magnetization = 0.000 μB per atom; relative energy among the computed polymorphs = 476.6 meV/atom; uncorrected energy = -1.911 eV/atom; space group = F-43m, No. 216
1.0
0.000 3.602 3.602
3.602 0.000 3.602
3.602 3.602 0.000
Mg Cd Se
2 1 1
Direct
0.000 0.000 0.000
0.250 0.250 0.250
0.500 0.500 0.500
0.750 0.750 0.750

[2]
PBE Li2AcSm2Pb2, optimized geometry; formation enthalpy at 0 K = -0.35 eV per atom; magnetization = 0.000 μB per atom; uncorrected energy = -3.894 eV/atom; space group = R-3m, No. 166
1.0
2.476 1.429 9.564
-2.476 1.429 9.564
0.000 -2.859 9.564
Li Ac Sm Pb
2 1 2 2
Direct
0.082 0.082 0.082
0.918 0.918 0.918
0.500 0.500 0.500
0.368 0.368 0.368
0.632 0.632 0.632
0.242 0.242 0.242
0.758 0.758 0.758

[3]
PBE Ti2InBi2, optimized geometry; formation enthalpy at 0 K = 0.16 eV per atom; magnetization = 0.000 μB per atom; relative energy among the computed polymorphs = 205.5 meV/atom; uncorrected energy = -5.103 eV/atom; space group = P4/mbm, No. 127
1.0
8.308 0.000 0.000
0.000 8.308 0.000
0.000 0.000 3.560
Ti In Bi
4 2 4
Direct
0.127 0.373 0.000
0.373 0.873 0.000
0.627 0.127 0.000
0.873 0.627 0.000
0.000 0.000 0.500
0.500 0.500 0.500
0.157 0.657 0.500
0.343 0.157 0.500
0.657 0.843 0.500
0.843 0.343 0.500